Below is crystalline La2Tb3DyY6 at its relaxed geometry, with properties calculated at the PBE-GGA level.

abc: 6.236 10.798 11.880
angles: 90.00 100.05 90.00
Space group C2/m (No. 12)
Symmetry-distinct sites (fractional):
La 0.000 0.166 0.000
Tb 0.000 0.000 0.500
Tb 0.000 0.333 0.500
Dy 0.000 0.500 0.000
Y 0.248 0.500 0.746
Y 0.249 0.166 0.747

Output
As for the formation energy: 0.019 eV per atom. The calculation puts the total magnetization at 0.00 μB per formula unit. For the calculated density, the calculation gives 6.12 g/cm³. For the density of states at the Fermi level, the calculation gives 33.07 states/eV/cell.

Below is crystalline Rb2NaAg2I6 at its relaxed geometry, with properties calculated at the PBE-GGA level.

abc: 15.796 7.695 9.164
angles: 90.00 120.47 90.00
Space group C2/m (No. 12)
Symmetry-distinct sites (fractional):
Rb 0.243 0.000 0.233
Na 0.000 0.000 0.500
Ag 0.064 0.500 0.193
I 0.063 0.240 0.827
I 0.236 0.000 0.631

Output
Its uncorrected formation energy is -801 meV per atom. The calculation puts the total magnetization at 0.00 μB per formula unit. For the calculated density, the calculation gives 4.05 g/cm³. For the density of states at the Fermi level, the calculation gives 9.19 states/eV/cell.

Below is crystalline InSiTe2I at its relaxed geometry, with properties calculated at the PBE-GGA level.

abc: 5.342 5.342 5.793
angles: 90.00 90.00 90.00
Space group P4/mmm (No. 123)
Symmetry-distinct sites (fractional):
In 0.000 0.000 0.000
Si 0.500 0.500 0.500
Te 0.000 0.500 0.500
I 0.500 0.500 0.000

Output
Its uncorrected formation energy is 142 meV per atom. The calculation puts the total magnetization at 0.00 μB per formula unit. For the calculated density, the calculation gives 5.27 g/cm³. For the density of states at the Fermi level, the calculation gives 3.55 states/eV/cell.

Below is crystalline RbScSi at its relaxed geometry, with properties calculated at the PBE-GGA level.

abc: 4.109 5.102 11.980
angles: 85.43 85.37 66.30
Space group P-1 (No. 2)
Symmetry-distinct sites (fractional):
Rb 0.213 0.224 0.180
Sc 0.125 0.220 0.564
Si 0.420 0.619 0.588

Output
Its uncorrected formation energy is -167 meV per atom. The calculation puts the total magnetization at 0.46 μB per formula unit. For the calculated density, the calculation gives 2.30 g/cm³. For the density of states at the Fermi level, the calculation gives 2.98 states/eV/cell.

Below is crystalline SrLi2Cl at its relaxed geometry, with properties calculated at the PBE-GGA level.

abc: 7.740 7.740 7.740
angles: 90.00 90.00 90.00
Space group F-43m (No. 216)
Symmetry-distinct sites (fractional):
Sr 0.000 0.000 0.000
Li 0.000 0.000 0.500
Li 0.250 0.250 0.250
Cl 0.250 0.250 0.750

Output
Its uncorrected formation energy is -424 meV per atom. The calculation puts the total magnetization at 0.50 μB per formula unit. For the calculated density, the calculation gives 1.96 g/cm³. For the density of states at the Fermi level, the calculation gives 11.70 states/eV/cell.

Below is crystalline ZrNbBi at its relaxed geometry, with properties calculated at the PBE-GGA level.

abc: 3.807 4.807 7.444
angles: 90.00 104.62 90.00
Space group P2_1/m (No. 11)
Symmetry-distinct sites (fractional):
Zr 0.080 0.250 0.159
Nb 0.259 0.750 0.520
Bi 0.399 0.250 0.801

Output
As for the formation energy: -0.092 eV per atom. The calculation puts the total magnetization at 0.00 μB per formula unit. For the calculated density, the calculation gives 9.90 g/cm³. For the density of states at the Fermi level, the calculation gives 5.26 states/eV/cell.

Q: calculated density of number 5 (SrLi2Cl)?
A: 1.96 g/cm³